An optimized crystal structure of MnIn2Te4, computed with PBE.

Properties
As for the calculated total energy: -4.165 eV/atom.

Unit cell a=6.2890 b=6.2890 c=7.7195 alpha=114.04 beta=114.04 gamma=90.00
Closest atoms and distances in Å follow each position.
Positions (direct):
Mn: 0.0000 0.0000 0.0000  4 Te 2.74
Te: 0.6489 0.1335 0.7347  1 Mn 2.74, 2 In 2.85
Te: 0.3988 0.3511 0.2653  1 Mn 2.74, 2 In 2.85
Te: 0.8665 0.9142 0.2653  1 Mn 2.74, 2 In 2.85
In: 0.5000 0.5000 0.0000  4 Te 2.85
In: 0.2500 0.7500 0.5000  4 Te 2.85
Te: 0.0858 0.6012 0.7347  1 Mn 2.74, 2 In 2.85


An optimized crystal structure of CuNi2Os, computed with PBE.

Properties
The energy above the lowest structure with this stoichiometry comes out at 0.162 eV/atom.

Unit cell a=4.9906 b=4.9906 c=4.9906 alpha=149.45 beta=128.72 gamma=60.87
Closest atoms and distances in Å follow each position.
Positions (direct):
Ni: 0.0056 0.0056 0.0000  4 Ni 2.45-2.63, 2 Cu 2.50, 4 Os 2.53
Cu: 0.7581 0.2581 0.5000  6 Ni 2.50-2.53, 2 Cu 2.63, 2 Os 2.65
Ni: 0.2453 0.7453 0.5000  4 Ni 2.45-2.63, 2 Os 2.49, 4 Cu 2.53
Os: 0.4910 0.4910 0.0000  6 Ni 2.49-2.53, 2 Os 2.63, 2 Cu 2.65


An optimized crystal structure of K2Hg2Au, computed with PBE.

Properties
The energy above the lowest structure with this stoichiometry comes out at 0.061 eV/atom.

Unit cell a=4.2943 b=4.2943 c=10.1810 alpha=77.83 beta=77.83 gamma=90.00
Closest atoms and distances in Å follow each position.
Positions (direct):
Au: 0.0000 0.0000 0.0000  8 K 3.57
Hg: 0.2500 0.7500 0.5000  4 Hg 3.04
K: 0.5966 0.5966 0.8067  4 Au 3.57, 4 Hg 3.67, 1 K 3.76
K: 0.4034 0.4034 0.1933  4 Au 3.57, 4 Hg 3.67, 1 K 3.76
Hg: 0.7500 0.2500 0.5000  4 Hg 3.04


An optimized crystal structure of ScTl2P, computed with PBE.

Properties
The energy above the lowest structure with this stoichiometry comes out at 0.626 eV/atom.

Unit cell a=8.6718 b=8.6718 c=8.6718 alpha=24.15 beta=24.15 gamma=24.15
Closest atoms and distances in Å follow each position.
Positions (direct):
P: 0.5000 0.5000 0.5000  6 Tl 2.81
Tl: 0.7589 0.7589 0.7589  3 P 2.81, 3 Sc 3.13
Sc: 0.0000 0.0000 0.0000  6 Tl 3.13
Tl: 0.2411 0.2411 0.2411  3 P 2.81, 3 Sc 3.13


An optimized crystal structure of PrTm4In, computed with PBE.

Properties
The energy above the lowest structure with this stoichiometry comes out at 0.000 eV/atom.

Unit cell a=3.5604 b=3.5604 c=14.1270 alpha=90.00 beta=90.00 gamma=90.00
Closest atoms and distances in Å follow each position.
Positions (direct):
Tm: 0.5000 0.5000 0.8184  8 Tm 3.50-3.56, 4 Pr 3.59
Tm: 0.0000 0.0000 0.6462  4 In 3.26, 8 Tm 3.50-3.56
In: 0.5000 0.5000 0.5000  8 Tm 3.26, 4 In 3.56
Pr: 0.0000 0.0000 0.0000  4 Pr 3.56, 8 Tm 3.59
Tm: 0.0000 0.0000 0.3538  4 In 3.26, 8 Tm 3.50-3.56
Tm: 0.5000 0.5000 0.1816  8 Tm 3.50-3.56, 4 Pr 3.59


An optimized crystal structure of Pm3DyAl2, computed with PBE.

Properties
The energy above the lowest structure with this stoichiometry comes out at 0.000 eV/atom.

Unit cell a=5.1983 b=6.6604 c=9.7058 alpha=90.00 beta=90.00 gamma=90.00
Closest atoms and distances in Å follow each position.
Positions (direct):
Al: 0.5000 0.7070 0.8499  7 Pm 3.18-3.45, 1 Dy 3.21
Al: 0.5000 0.2070 0.1501  7 Pm 3.18-3.45, 1 Dy 3.21
Pm: 0.0000 0.3093 0.3298  5 Al 3.09-3.43, 2 Dy 3.45
Pm: 0.5000 0.6904 0.1773  5 Al 3.18-3.45, 2 Pm 3.47, 1 Dy 3.50
Al: 0.0000 0.2949 0.6477  6 Pm 3.09-3.43, 2 Dy 3.18
Dy: 0.5000 0.0236 0.4558  3 Al 3.18-3.21, 2 Dy 3.44, 3 Pm 3.45-3.50
Al: 0.0000 0.7949 0.3523  6 Pm 3.09-3.43, 2 Dy 3.18
Pm: 0.5000 0.1904 0.8227  5 Al 3.18-3.45, 2 Pm 3.47, 1 Dy 3.50
Pm: 0.0000 0.9748 0.0418  3 Al 3.20-3.24, 5 Pm 3.43-3.58
Pm: 0.0000 0.8093 0.6702  5 Al 3.09-3.43, 2 Dy 3.45
Dy: 0.5000 0.5236 0.5442  3 Al 3.18-3.21, 2 Dy 3.44, 3 Pm 3.45-3.50
Pm: 0.0000 0.4748 0.9582  3 Al 3.20-3.24, 5 Pm 3.43-3.58


An optimized crystal structure of ZrPb2Au, computed with PBE.

Properties
The energy above the lowest structure with this stoichiometry comes out at 0.300 eV/atom.

Unit cell a=5.2081 b=5.2081 c=5.2081 alpha=60.00 beta=60.00 gamma=60.00
Closest atoms and distances in Å follow each position.
Positions (direct):
Zr: 0.7500 0.7500 0.7500  4 Pb 3.19, 4 Au 3.19
Pb: 0.0000 0.0000 0.0000  4 Zr 3.19, 4 Pb 3.19
Au: 0.5000 0.5000 0.5000  4 Zr 3.19, 4 Pb 3.19
Pb: 0.2500 0.2500 0.2500  4 Au 3.19, 4 Pb 3.19


An optimized crystal structure of InAsBr2, computed with PBE.

Properties
The energy above the lowest structure with this stoichiometry comes out at 0.343 eV/atom.

Unit cell a=3.6553 b=6.2603 c=4.6131 alpha=90.00 beta=90.00 gamma=90.00
Closest atoms and distances in Å follow each position.
Positions (direct):
As: 0.0000 0.5000 0.5000  4 Br 2.94
Br: 0.5000 0.5000 0.0000  4 As 2.94
Br: 0.0000 0.0000 0.0000  4 In 2.94
In: 0.5000 0.0000 0.5000  4 Br 2.94


An optimized crystal structure of AlWSe2Br, computed with PBE.

Properties
The energy above the lowest structure with this stoichiometry comes out at 0.000 eV/atom.

Unit cell a=4.9153 b=4.9153 c=5.3984 alpha=90.00 beta=90.00 gamma=90.00
Closest atoms and distances in Å follow each position.
Positions (direct):
W: 0.0000 0.0000 0.0000  4 Se 2.46, 2 Br 2.70
Se: 0.0000 0.5000 0.0000  2 W 2.46
Al: 0.5000 0.5000 0.5000  4 Br 3.48, 8 Se 3.65
Br: 0.0000 0.0000 0.5000  2 W 2.70
Se: 0.5000 0.0000 0.0000  2 W 2.46


An optimized crystal structure of LaNdTaN3, computed with PBE.

Properties
As for the calculated total energy: -8.807 eV/atom.

Unit cell a=3.6152 b=7.8867 c=7.8631 alpha=95.37 beta=90.00 gamma=90.00
Closest atoms and distances in Å follow each position.
Positions (direct):
Nd: 0.7500 0.3903 0.8279  3 N 2.34-2.55
Ta: 0.7500 0.8918 0.4039  3 N 1.94-2.05
La: 0.2500 0.1683 0.1595  3 N 2.48-2.50
Nd: 0.2500 0.6097 0.1721  3 N 2.34-2.55
N: 0.7500 0.8862 0.1569  1 Ta 1.94
N: 0.2500 0.8376 0.5079  3 Ta 2.05-2.18
N: 0.7500 0.3821 0.1246  3 Nd 2.34-2.55, 2 La 2.50
Ta: 0.2500 0.1082 0.5961  3 N 1.94-2.05
N: 0.2500 0.6179 0.8754  3 Nd 2.34-2.55, 2 La 2.50
N: 0.7500 0.1624 0.4921  3 Ta 2.05-2.18
N: 0.2500 0.1138 0.8431  1 Ta 1.94
La: 0.7500 0.8317 0.8405  3 N 2.48-2.50


An optimized crystal structure of Cu3OF4, computed with PBE.

Properties
As for the calculated total energy: -4.306 eV/atom.

Unit cell a=5.3214 b=5.6774 c=8.1943 alpha=112.50 beta=90.00 gamma=117.95
Closest atoms and distances in Å follow each position.
Positions (direct):
Cu: 0.3179 0.6199 0.1104  1 O 1.87, 3 F 2.00-2.03
Cu: 0.3020 0.6199 0.6104  1 O 1.87, 3 F 2.00-2.03
O: 0.6478 0.9801 0.7342  3 Cu 1.84-1.87
O: 0.3323 0.9801 0.2342  3 Cu 1.84-1.87
Cu: 0.6668 0.3260 0.3791  1 O 1.84
F: 0.5685 0.6223 0.3273  3 Cu 2.00-2.21
Cu: 0.8723 0.8509 0.8067  1 O 1.86, 2 F 1.99-2.00
F: 0.9754 0.2271 0.4342  3 Cu 1.99-2.07
F: 0.5201 0.4180 0.6327  3 Cu 2.03-2.18
F: 0.8979 0.4180 0.1327  3 Cu 2.03-2.18
F: 0.0363 0.7355 0.5252  3 Cu 2.03-2.19
F: 0.0538 0.6223 0.8273  3 Cu 2.00-2.21
Cu: 0.9786 0.8509 0.3067  1 O 1.86, 2 F 1.99-2.00
F: 0.6992 0.7355 0.0252  3 Cu 2.03-2.19
F: 0.2516 0.2271 0.9342  3 Cu 1.99-2.07
Cu: 0.6591 0.3260 0.8791  1 O 1.84


An optimized crystal structure of MnPt2Rh, computed with PBE.

Properties
As for the calculated total energy: -7.395 eV/atom.

Unit cell a=4.7448 b=4.7448 c=2.8003 alpha=90.00 beta=90.00 gamma=109.12
Closest atoms and distances in Å follow each position.
Positions (direct):
Mn: 0.0000 0.5000 0.5000  2 Rh 2.75, 8 Pt 2.75, 2 Mn 2.80
Pt: 0.0000 0.0000 0.0000  4 Pt 2.75-2.80, 4 Rh 2.75, 4 Mn 2.75
Rh: 0.5000 0.0000 0.5000  2 Mn 2.75, 8 Pt 2.75, 2 Rh 2.80
Pt: 0.5000 0.5000 0.0000  4 Pt 2.75-2.80, 4 Mn 2.75, 4 Rh 2.75


An optimized crystal structure of TiBO2, computed with PBE.

Properties
As for the calculated total energy: -6.953 eV/atom.

Unit cell a=5.6133 b=5.6133 c=5.8686 alpha=61.43 beta=61.43 gamma=90.00
Closest atoms and distances in Å follow each position.
Positions (direct):
B: 0.2500 0.7500 0.5000  4 O 2.96
O: 0.3750 0.2029 0.7500  2 Ti 1.82
O: 0.9529 0.6250 0.2500  2 Ti 1.82
Ti: 0.7500 0.2500 0.5000  4 O 1.82
O: 0.7971 0.1250 0.2500  2 Ti 1.82
O: 0.8750 0.0471 0.7500  2 Ti 1.82
B: 0.5000 0.5000 0.0000  4 O 2.96
Ti: 0.0000 0.0000 0.0000  4 O 1.82